[1]
Here is a relaxed PmSmSi2Pt2 crystal from Alexandria via LeMat-Bulk. Energies are from PBE-GGA.

Results
Total moment, μB/cell: 0.0
E, eV per atom: -6.528
Space-group type: P-3m1 (164)
V, Å³/atom: 21.16

a = 4.1725 Å, b = 4.1725 Å, c = 8.4192 Å
α = 90.00°, β = 90.00°, γ = 120.00°
Last column: nearest neighbours and their distance in Å.
Sites, in units of the cell vectors:
Si  0.6667  0.3333  0.2506  3 Pt 2.41
Pt  0.3333  0.6667  0.2521  3 Si 2.41
Si  0.3333  0.6667  0.7494  3 Pt 2.41
Sm  0.0000  0.0000  0.5000  6 Pt 3.19, 6 Si 3.20
Pt  0.6667  0.3333  0.7479  3 Si 2.41
Pm  0.0000  0.0000  0.0000  6 Si 3.20, 6 Pt 3.21

[2]
Here is a relaxed CaCe2Pb4 crystal from Alexandria via LeMat-Bulk. Energies are from PBE-GGA.

Results
Energy of formation, eV/f.u.: -1.39
Total moment, μB/cell: 2.0
Space-group type: I4/mmm (139)
V, Å³/atom: 33.32

a = 6.0726 Å, b = 6.0726 Å, c = 7.6456 Å
α = 113.40°, β = 113.40°, γ = 90.00°
Last column: nearest neighbours and their distance in Å.
Sites, in units of the cell vectors:
Pb  0.7500  0.2500  0.5000  2 Pb 3.16, 4 Ce 3.34
Ca  0.0000  0.0000  0.0000  4 Pb 3.04
Ce  0.6395  0.6395  0.2789  8 Pb 3.34-3.51, 1 Ce 3.53
Pb  0.5000  0.0000  0.0000  2 Ca 3.04, 2 Pb 3.16
Ce  0.3605  0.3605  0.7211  8 Pb 3.34-3.51, 1 Ce 3.53
Pb  0.0000  0.5000  0.0000  2 Ca 3.04, 2 Pb 3.16
Pb  0.2500  0.7500  0.5000  2 Pb 3.16, 4 Ce 3.34

[3]
Here is a relaxed La2OF2 crystal from Alexandria via LeMat-Bulk. Energies are from PBE-GGA.

Results
Total moment, μB/cell: 0.0
E, eV per atom: -6.739
Space-group type: P4/mbm (127)
V, Å³/atom: 22.14

a = 6.9801 Å, b = 6.9801 Å, c = 4.5433 Å
α = 90.00°, β = 90.00°, γ = 90.00°
Last column: nearest neighbours and their distance in Å.
Sites, in units of the cell vectors:
O  0.5000  0.5000  0.0000  4 La 2.47
F  0.2011  0.7011  0.5000  2 La 2.35
La  0.7385  0.2385  0.0000  2 F 2.35, 2 O 2.47
La  0.2385  0.2615  0.0000  2 F 2.35, 2 O 2.47
F  0.2989  0.2011  0.5000  2 La 2.35
F  0.7989  0.2989  0.5000  2 La 2.35
La  0.2615  0.7615  0.0000  2 F 2.35, 2 O 2.47
O  0.0000  0.0000  0.0000  4 La 2.47
F  0.7011  0.7989  0.5000  2 La 2.35
La  0.7615  0.7385  0.0000  2 F 2.35, 2 O 2.47